Crystalline KHgBiSb2 at its relaxed geometry. Source: Alexandria, functional PBE.

a b c (Å): 5.962 5.962 5.981
angles (deg): 90.00 90.00 90.00
Space group P4/mmm (No. 123)
One atom of each set of equivalent atoms:
K  0.000  0.000  0.000 (multiplicity 1)
Hg  0.500  0.500  0.000 (multiplicity 1)
Bi  0.500  0.500  0.500 (multiplicity 1)
Sb  0.000  0.500  0.500 (multiplicity 2)

Values from the calculation:
formation energy without anion corrections	223	meV/atom
DFT total energy	-2.482	eV/atom

---

Crystalline LaTbPm2 at its relaxed geometry. Source: Alexandria, functional PBE.

a b c (Å): 8.228 8.228 8.228
angles (deg): 90.00 90.00 90.00
Space group Fm-3m (No. 225)
One atom of each set of equivalent atoms:
La  0.000  0.000  0.000 (multiplicity 4)
Tb  0.000  0.000  0.500 (multiplicity 4)
Pm  0.250  0.250  0.250 (multiplicity 8)

Values from the calculation:
ΔH_f (0 K)	0.146	eV/atom
DFT total energy	-4.619	eV/atom
energy above the lowest structure with this stoichiometry	12.37	kJ/mol of atoms

---

Crystalline Na3Bi6Pb2 at its relaxed geometry. Source: Alexandria, functional PBE.

a b c (Å): 11.437 13.879 4.846
angles (deg): 90.00 90.00 90.00
Space group Cmmm (No. 65)
One atom of each set of equivalent atoms:
Na  0.000  0.000  0.000 (multiplicity 2)
Na  0.000  0.212  0.500 (multiplicity 4)
Bi  0.000  0.385  0.000 (multiplicity 4)
Bi  0.214  0.143  0.000 (multiplicity 8)
Pb  0.180  0.500  0.500 (multiplicity 4)

Values from the calculation:
ΔH_f (0 K)	-0.039	eV/atom
DFT total energy	-3.190	eV/atom

---

Crystalline La2MgTl4 at its relaxed geometry. Source: Alexandria, functional PBE.

a b c (Å): 13.887 5.677 5.864
angles (deg): 90.00 105.59 90.00
Space group C2/m (No. 12)
One atom of each set of equivalent atoms:
La  0.142  0.000  0.087 (multiplicity 4)
Mg  0.000  0.500  0.500 (multiplicity 2)
Tl  0.000  0.000  0.500 (multiplicity 2)
Tl  0.000  0.500  0.000 (multiplicity 2)
Tl  0.245  0.500  0.344 (multiplicity 4)

Values from the calculation:
ΔH_f (0 K)	-0.125	eV/atom
DFT total energy	-3.113	eV/atom
energy above the lowest structure with this stoichiometry	0.00	kJ/mol of atoms

---

Crystalline Ac2TbAl3Ga12 at its relaxed geometry. Source: Alexandria, functional PBE.

a b c (Å): 6.8463 6.8463 30.4199
angles (deg): 90.00 90.00 120.00
Space group R-3m (No. 166, hexagonal axes)
One atom of each set of equivalent atoms:
Ac  0.0000  0.0000  0.1372 (multiplicity 6)
Tb  0.0000  0.0000  0.5000 (multiplicity 3)
Al  0.0000  0.5000  0.0000 (multiplicity 9)
Ga  0.0465  0.5233  0.8995 (multiplicity 18)
Ga  0.0650  0.5325  0.6227 (multiplicity 18)

Values from the calculation:
ΔH_f (0 K)	-0.137	eV/atom
DFT total energy	-3.493	eV/atom

---

Crystalline Dy2Ga5Co2Rh at its relaxed geometry. Source: Alexandria, functional PBE.

a b c (Å): 9.106 9.106 3.983
angles (deg): 90.00 90.00 90.00
Space group P4/mbm (No. 127)
One atom of each set of equivalent atoms:
Dy  0.181  0.319  0.000 (multiplicity 4)
Ga  0.000  0.500  0.500 (multiplicity 2)
Ga  0.059  0.796  0.500 (multiplicity 8)
Co  0.113  0.613  0.000 (multiplicity 4)
Rh  0.000  0.000  0.000 (multiplicity 2)

Values from the calculation:
ΔH_f (0 K)	-0.447	eV/atom
DFT total energy	-5.037	eV/atom

---

Crystalline CeYSb at its relaxed geometry. Source: Alexandria, functional PBE.

a b c (Å): 5.379 5.379 6.997
angles (deg): 90.00 90.00 90.00
Space group P4/nmm (No. 129, origin choice 2)
One atom of each set of equivalent atoms:
Ce  0.250  0.250  0.248 (multiplicity 2)
Y  0.250  0.250  0.752 (multiplicity 2)
Sb  0.250  0.750  0.000 (multiplicity 2)

Values from the calculation:
formation energy without anion corrections	-297	meV/atom
DFT total energy	-5.804	eV/atom

---

Crystalline MnPPt2 at its relaxed geometry. Source: Alexandria, functional PBE.

a b c (Å): 2.946 2.946 6.912
angles (deg): 90.00 90.00 90.00
Space group P4/mmm (No. 123)
One atom of each set of equivalent atoms:
Mn  0.000  0.000  0.000 (multiplicity 1)
P  0.000  0.000  0.500 (multiplicity 1)
Pt  0.500  0.500  0.261 (multiplicity 2)

Values from the calculation:
ΔH_f (0 K)	-0.149	eV/atom
DFT total energy	-6.814	eV/atom

---

Crystalline Tb3YHo at its relaxed geometry. Source: Alexandria, functional PBE.

a b c (Å): 6.148 6.171 9.396
angles (deg): 109.03 102.56 99.71
Space group P-1 (No. 2)
One atom of each set of equivalent atoms:
Tb  0.150  0.300  0.050 (multiplicity 2)
Tb  0.248  0.499  0.749 (multiplicity 2)
Tb  0.350  0.699  0.450 (multiplicity 2)
Y  0.450  0.900  0.151 (multiplicity 2)
Ho  0.050  0.100  0.351 (multiplicity 2)

Values from the calculation:
ΔH_f (0 K)	0.017	eV/atom
DFT total energy	-4.969	eV/atom
energy above the lowest structure with this stoichiometry	0.00	kJ/mol of atoms

---

Crystalline BaTc2P at its relaxed geometry. Source: Alexandria, functional PBE.

a b c (Å): 4.895 4.895 16.616
angles (deg): 90.00 90.00 90.00
Space group I4_1/amd (No. 141, origin choice 2)
One atom of each set of equivalent atoms:
Ba  0.000  0.250  0.375 (multiplicity 4)
Tc  0.000  0.000  0.000 (multiplicity 8)
P  0.000  0.250  0.875 (multiplicity 4)

Values from the calculation:
ΔH_f (0 K)	0.228	eV/atom
DFT total energy	-6.788	eV/atom

---

Crystalline NaTl3 at its relaxed geometry. Source: Alexandria, functional PBE.

a b c (Å): 3.571 10.933 6.054
angles (deg): 90.00 90.00 90.00
Space group Imm2 (No. 44)
One atom of each set of equivalent atoms:
Na  0.000  0.000  0.000 (multiplicity 2)
Tl  0.000  0.251  0.331 (multiplicity 4)
Tl  0.000  0.500  0.000 (multiplicity 2)

Values from the calculation:
ΔH_f (0 K)	-0.075	eV/atom
DFT total energy	-2.179	eV/atom

---

Crystalline YBe2Pb at its relaxed geometry. Source: Alexandria, functional PBE.

a b c (Å): 3.237 3.237 7.262
angles (deg): 90.00 90.00 90.00
Space group P4mm (No. 99)
One atom of each set of equivalent atoms:
Y  0.000  0.000  0.000 (multiplicity 1)
Be  0.000  0.000  0.382 (multiplicity 1)
Be  0.500  0.500  0.268 (multiplicity 1)
Pb  0.500  0.500  0.648 (multiplicity 1)

Values from the calculation:
ΔH_f (0 K)	0.284	eV/atom
DFT total energy	-4.122	eV/atom

---

Crystalline LaAsOs2 at its relaxed geometry. Source: Alexandria, functional PBE.

a b c (Å): 3.098 5.092 9.597
angles (deg): 90.00 90.00 90.00
Space group Imm2 (No. 44)
One atom of each set of equivalent atoms:
La  0.000  0.000  0.000 (multiplicity 2)
As  0.000  0.500  0.774 (multiplicity 2)
Os  0.000  0.000  0.486 (multiplicity 2)
Os  0.000  0.500  0.210 (multiplicity 2)

Values from the calculation:
ΔH_f (0 K)	0.311	eV/atom
DFT total energy	-7.698	eV/atom

---

Crystalline LaCe2AuC at its relaxed geometry. Source: Alexandria, functional PBE.

a b c (Å): 4.760 4.801 5.276
angles (deg): 90.00 90.00 90.00
Space group Pmm2 (No. 25)
One atom of each set of equivalent atoms:
La  0.000  0.000  0.000 (multiplicity 1)
Ce  0.000  0.500  0.416 (multiplicity 1)
Ce  0.500  0.000  0.586 (multiplicity 1)
Au  0.500  0.500  0.999 (multiplicity 1)
C  0.000  0.000  0.497 (multiplicity 1)

Values from the calculation:
ΔH_f (0 K)	-0.275	eV/atom
DFT total energy	-6.134	eV/atom